Computed, not measured: a PBEsol-optimized structure of BeTe2Os at the meta-GGA SCAN level of DFT.

a = 6.4604 Å, b = 6.4604 Å, c = 6.4604 Å
α = 34.75°, β = 34.75°, γ = 34.75°
Closest atoms and distances in Å follow each position.
Positions (direct):
Be 0.0000 0.0000 0.0000  6 Te 2.72
Te 0.2478 0.2478 0.2478  3 Os 2.67, 3 Be 2.72
Te 0.7522 0.7522 0.7522  3 Os 2.67, 3 Be 2.72
Os 0.5000 0.5000 0.5000  6 Te 2.67

Summary:
Raw formation energy   49.1 kJ/mol of atoms
Energy   -148.70 eV/cell
DOS at the Fermi energy   0.63 states/eV/atom


Computed, not measured: a PBEsol-optimized structure of BeTe2Os at the meta-GGA SCAN level of DFT.

a = 5.1020 Å, b = 5.1020 Å, c = 5.1020 Å
α = 131.79°, β = 131.79°, γ = 70.57°
Closest atoms and distances in Å follow each position.
Positions (direct):
Be 0.0000 0.0000 0.0000  8 Te 2.95, 4 Os 2.95
Te 0.2500 0.7500 0.5000  4 Be 2.95, 4 Te 2.95, 4 Os 2.95
Te 0.5000 0.5000 0.0000  4 Te 2.95, 4 Os 2.95, 4 Be 2.95
Os 0.7500 0.2500 0.5000  4 Be 2.95, 8 Te 2.95

Summary:
Raw formation energy   96.8 kJ/mol of atoms
Energy   -146.72 eV/cell
DOS at the Fermi energy   0.41 states/eV/atom


Question: Which value of raw formation energy does entry 1 give?
Answer: 49.1 kJ/mol of atoms


Question: What is the DOS at the Fermi energy in the first record?
Answer: 0.63 states/eV/atom


Copy entry 1 word for word.
Computed, not measured: a PBEsol-optimized structure of BeTe2Os at the meta-GGA SCAN level of DFT.

a = 6.4604 Å, b = 6.4604 Å, c = 6.4604 Å
α = 34.75°, β = 34.75°, γ = 34.75°
Closest atoms and distances in Å follow each position.
Positions (direct):
Be 0.0000 0.0000 0.0000  6 Te 2.72
Te 0.2478 0.2478 0.2478  3 Os 2.67, 3 Be 2.72
Te 0.7522 0.7522 0.7522  3 Os 2.67, 3 Be 2.72
Os 0.5000 0.5000 0.5000  6 Te 2.67

Summary:
Raw formation energy   49.1 kJ/mol of atoms
Energy   -148.70 eV/cell
DOS at the Fermi energy   0.63 states/eV/atom